(1)
! IrOsO2F (SCAN, PBEsol geometry); values from VASP
&SYSTEM
  ibrav = 0, nat = 5, ntyp = 4
/
ATOMIC_SPECIES
Ir 192.22 Ir.upf
Os 190.23 Os.upf
O 16.00 O.upf
F 19.00 F.upf
ATOMIC_POSITIONS crystal
Ir 0.000 0.000 0.000
Os 0.500 0.500 0.500
O 0.000 0.500 0.500
O 0.500 0.000 0.500
F 0.500 0.500 0.000
CELL_PARAMETERS angstrom
3.639 0.000 0.000
0.000 3.639 0.000
0.000 0.000 5.612
! - E_tot: -157.16 eV for the cell shown
! - Crystal system: tetragonal
! - Density of states at the Fermi level: 2.8 states/eV per cell
! - Space-group type: No. 123
! - Energy relative to the elements, uncorrected: 0.36 eV per atom

---

(2)
! IrOsO2F (SCAN, PBEsol geometry); values from VASP
&SYSTEM
  ibrav = 0, nat = 5, ntyp = 4
/
ATOMIC_SPECIES
Ir 192.22 Ir.upf
Os 190.23 Os.upf
O 16.00 O.upf
F 19.00 F.upf
ATOMIC_POSITIONS crystal
Ir 0.000 0.000 0.000
Os 0.000 0.000 0.500
O 0.000 0.500 0.500
O 0.500 0.000 0.500
F 0.500 0.500 0.000
CELL_PARAMETERS angstrom
3.651 0.000 0.000
0.000 3.651 0.000
0.000 0.000 5.080
! - E_tot: -159.68 eV for the cell shown
! - Crystal system: tetragonal
! - Density of states at the Fermi level: 1.6 states/eV per cell
! - Space-group type: No. 123
! - Energy relative to the elements, uncorrected: -0.14 eV per atom

---

(3)
! IrSOF2 (SCAN, PBEsol geometry); values from VASP
&SYSTEM
  ibrav = 0, nat = 5, ntyp = 4
/
ATOMIC_SPECIES
Ir 192.22 Ir.upf
S 32.06 S.upf
O 16.00 O.upf
F 19.00 F.upf
ATOMIC_POSITIONS crystal
Ir 0.000 0.000 0.000
S 0.500 0.500 0.500
O 0.000 0.000 0.500
F 0.000 0.500 0.000
F 0.500 0.000 0.000
CELL_PARAMETERS angstrom
4.276 0.000 0.000
0.000 4.276 0.000
0.000 0.000 3.691
! - E_tot: -95.02 eV for the cell shown
! - Crystal system: tetragonal
! - Density of states at the Fermi level: 2.5 states/eV per cell
! - Space-group type: No. 123
! - Energy relative to the elements, uncorrected: -0.20 eV per atom

---

(4)
! SiIrO2F (SCAN, PBEsol geometry); values from VASP
&SYSTEM
  ibrav = 0, nat = 5, ntyp = 4
/
ATOMIC_SPECIES
Si 28.09 Si.upf
Ir 192.22 Ir.upf
O 16.00 O.upf
F 19.00 F.upf
ATOMIC_POSITIONS crystal
Si 0.000 0.000 0.000
Ir 0.500 0.500 0.500
O 0.000 0.500 0.500
O 0.500 0.000 0.500
F 0.500 0.500 0.000
CELL_PARAMETERS angstrom
3.879 0.000 0.000
0.000 3.879 0.000
0.000 0.000 4.217
! - E_tot: -97.76 eV for the cell shown
! - Crystal system: tetragonal
! - Density of states at the Fermi level: 2.5 states/eV per cell
! - Space-group type: No. 123
! - Energy relative to the elements, uncorrected: -0.13 eV per atom